# NpTePd

NpTePd after structural relaxation (PBE, Alexandria).

Results
Uncorrected formation energy = -414 meV/atom
VASP energy = -0.2758 hartree per atom
SG = P3m1
N(E_F) = 11.01 states/eV/cell
M_tot = 1.556 μB per atom

Lattice parameters (Å, degrees): 3.9061 4.5751 4.5751 120.00 90.00 90.00
Last column: nearest neighbours and their distance in Å.
Fractional positions:
Np: 0.3489 0.3333 0.6667  6 Pd 3.13-3.45, 6 Te 3.23-3.34
Pd: 0.7798 0.6667 0.3333  3 Te 2.67
Te: 0.8713 0.0000 0.0000  3 Pd 2.67

# Ac3Nd2SmY6

Ac3Nd2SmY6 after structural relaxation (PBE, Alexandria).

Results
ΔE_f = 0.0346 eV/atom
VASP energy = -0.1989 hartree per atom
SG = C2/m
N(E_F) = 13.50 states/eV/cell
M_tot = 0.000 μB per atom

Lattice parameters (Å, degrees): 6.4569 6.4569 12.0170 95.13 95.13 120.00
Last column: nearest neighbours and their distance in Å.
Fractional positions:
Y: 0.7481 0.7481 0.2437  1 Sm 3.60, 2 Nd 3.60, 3 Ac 3.72, 6 Y 3.72-3.73
Y: 0.4141 0.0811 0.2437  1 Sm 3.59, 2 Nd 3.60, 3 Ac 3.72, 6 Y 3.72-3.73
Ac: 0.5000 0.5000 0.5000  6 Y 3.72, 6 Ac 3.73
Nd: 0.6665 0.3335 0.0000  6 Y 3.60, 3 Nd 3.72-3.73, 3 Sm 3.73
Y: 0.0811 0.4141 0.2437  1 Sm 3.59, 2 Nd 3.60, 3 Ac 3.72, 6 Y 3.72-3.73
Ac: 0.1668 0.8332 0.5000  6 Y 3.72, 6 Ac 3.73
Y: 0.9189 0.5859 0.7563  1 Sm 3.59, 2 Nd 3.60, 3 Ac 3.72, 6 Y 3.72-3.73
Y: 0.2519 0.2519 0.7563  1 Sm 3.60, 2 Nd 3.60, 3 Ac 3.72, 6 Y 3.72-3.73
Nd: 0.3335 0.6665 0.0000  6 Y 3.60, 3 Nd 3.72-3.73, 3 Sm 3.73
Y: 0.5859 0.9189 0.7563  1 Sm 3.59, 2 Nd 3.60, 3 Ac 3.72, 6 Y 3.72-3.73
Ac: 0.8332 0.1668 0.5000  6 Y 3.72, 6 Ac 3.73
Sm: 0.0000 0.0000 0.0000  6 Y 3.59-3.60, 6 Nd 3.73

# Tm12CoSb6

Tm12CoSb6 after structural relaxation (PBE, Alexandria).

Results
Uncorrected formation energy = -598 meV/atom
VASP energy = -0.1874 hartree per atom
SG = R-3
N(E_F) = 12.36 states/eV/cell
M_tot = 0.000 μB per atom

Lattice parameters (Å, degrees): 8.3972 8.3972 8.3972 99.83 99.83 99.83
Last column: nearest neighbours and their distance in Å.
Fractional positions:
Tm: 0.0070 0.6948 0.9427  1 Co 2.54
Tm: 0.1985 0.4139 0.5440  4 Sb 3.02-3.23
Sb: 0.8816 0.3537 0.6843  7 Tm 3.02-3.23
Tm: 0.8015 0.5861 0.4560  4 Sb 3.02-3.23
Co: 0.0000 0.0000 0.0000  6 Tm 2.54
Sb: 0.6843 0.8816 0.3537  7 Tm 3.02-3.23
Tm: 0.3052 0.0573 0.9930  1 Co 2.54
Tm: 0.4139 0.5440 0.1985  4 Sb 3.02-3.23
Sb: 0.1184 0.6463 0.3157  7 Tm 3.02-3.23
Tm: 0.5861 0.4560 0.8015  4 Sb 3.02-3.23
Tm: 0.6948 0.9427 0.0070  1 Co 2.54
Tm: 0.0573 0.9930 0.3052  1 Co 2.54
Tm: 0.9930 0.3052 0.0573  1 Co 2.54
Sb: 0.6463 0.3157 0.1184  7 Tm 3.02-3.23
Tm: 0.9427 0.0070 0.6948  1 Co 2.54
Sb: 0.3157 0.1184 0.6463  7 Tm 3.02-3.23
Tm: 0.4560 0.8015 0.5861  4 Sb 3.02-3.23
Tm: 0.5440 0.1985 0.4139  4 Sb 3.02-3.23
Sb: 0.3537 0.6843 0.8816  7 Tm 3.02-3.23

# BaMo5

BaMo5 after structural relaxation (PBE, Alexandria).

Results
ΔE_f = 0.6447 eV/atom
VASP energy = -0.3198 hartree per atom
SG = C2/m
N(E_F) = 5.99 states/eV/cell
M_tot = 0.000 μB per atom

Lattice parameters (Å, degrees): 5.1091 5.1091 8.7238 74.45 74.45 36.25
Last column: nearest neighbours and their distance in Å.
Fractional positions:
Mo: 0.1705 0.1705 0.1222  6 Mo 2.57-2.76
Ba: 0.5000 0.5000 0.5000  2 Ba 3.18, 2 Mo 3.46
Mo: 0.8347 0.8347 0.2227  4 Mo 2.57-2.67
Mo: 0.5000 0.5000 0.0000  8 Mo 2.67-2.72
Mo: 0.1653 0.1653 0.7773  4 Mo 2.57-2.67
Mo: 0.8295 0.8295 0.8778  6 Mo 2.57-2.76

# PmPu2Tc

PmPu2Tc after structural relaxation (PBE, Alexandria).

Results
ΔE_f = 0.1164 eV/atom
VASP energy = -0.3979 hartree per atom
SG = P4/mmm
N(E_F) = 10.94 states/eV/cell
M_tot = 2.607 μB per atom

Lattice parameters (Å, degrees): 3.3185 3.3185 8.9487 90.00 90.00 90.00
Last column: nearest neighbours and their distance in Å.
Fractional positions:
Pm: 0.5000 0.5000 0.5000  4 Pm 3.32, 8 Pu 3.60
Pu: 0.0000 0.0000 0.1950  4 Tc 2.92
Pu: 0.0000 0.0000 0.8050  4 Tc 2.92
Tc: 0.5000 0.5000 0.0000  8 Pu 2.92

# KTa2InSe

KTa2InSe after structural relaxation (PBE, Alexandria).

Results
Uncorrected formation energy = 1694 meV/atom
VASP energy = -0.1658 hartree per atom
SG = P4/mmm
N(E_F) = 5.72 states/eV/cell
M_tot = 0.800 μB per atom

Lattice parameters (Å, degrees): 5.2929 5.7405 5.2929 90.00 90.00 90.00
Last column: nearest neighbours and their distance in Å.
Fractional positions:
K: 0.5000 0.5000 0.5000  4 Se 3.74, 8 Ta 3.90
Ta: 0.0000 0.0000 0.5000  2 In 2.65
In: 0.0000 0.0000 0.0000  4 Ta 2.65, 2 Se 2.87
Ta: 0.5000 0.0000 0.0000  2 In 2.65
Se: 0.0000 0.5000 0.0000  2 In 2.87

# Na2PS

Na2PS after structural relaxation (PBE, Alexandria).

Results
Uncorrected formation energy = -158 meV/atom
VASP energy = -0.1177 hartree per atom
SG = I-42d
N(E_F) = 5.99 states/eV/cell
M_tot = 0.002 μB per atom

Lattice parameters (Å, degrees): 7.8882 7.8882 6.1543 50.14 50.14 90.00
Last column: nearest neighbours and their distance in Å.
Fractional positions:
Na: 0.3750 0.3499 0.7500  2 Na 2.63, 2 S 2.73
S: 0.7500 0.2500 0.5000  2 P 2.60, 4 Na 2.73
Na: 0.6501 0.1250 0.2500  2 Na 2.63, 2 S 2.73
S: 0.0000 0.0000 0.0000  2 P 2.60, 4 Na 2.73
P: 0.5000 0.5000 0.0000  2 S 2.60
Na: 0.0999 0.6250 0.2500  2 Na 2.63, 2 S 2.73
P: 0.2500 0.7500 0.5000  2 S 2.60
Na: 0.8750 0.9001 0.7500  2 Na 2.63, 2 S 2.73

The highest M_tot belongs to which entry? PmPu2Tc

Number 1 is which compound? NpTePd

Look up the N(E_F) of the first one. 11.01 states/eV/cell

Which value of VASP energy does entry 1 give? -0.2758 hartree per atom